# 1
The following is a GGA-PBE calculation of an optimized crystal structure of Ni7Ge2MoPt2, from Alexandria. Values from VASP.

The structure in Quantum ESPRESSO input format:
```
&SYSTEM
  ibrav = 0, nat = 12, ntyp = 4
/
ATOMIC_SPECIES
Pt 195.08 Pt.upf
Ni 58.69 Ni.upf
Mo 95.94 Mo.upf
Ge 72.64 Ge.upf
CELL_PARAMETERS angstrom
-0.5058 -0.6227 3.5286
2.8462 -2.2340 0.0526
9.6073 6.4696 6.2655
ATOMIC_POSITIONS angstrom
Pt 8.5760 2.2163 7.2427
Pt 3.3717 1.3966 2.6040
Ni 5.3484 2.5694 3.9665
Ni 9.9741 3.9986 5.9009
Ni 1.9737 -0.3857 3.9459
Ni 1.1702 -1.4283 1.7906
Ni 8.2981 4.8043 7.6388
Ni 6.5994 1.0435 5.8802
Ni 3.6497 -1.1914 2.2079
Mo 0.0000 0.0000 0.0000
Ge 4.8196 0.3252 4.4970
Ge 7.1282 3.2877 5.3498
```

Energy of formation from the pure elements = -106 meV per atom



# 2
The following is a GGA-PBE calculation of an optimized crystal structure of Rb2Pb12Au7, from Alexandria. Values from VASP.

The structure in Quantum ESPRESSO input format:
```
&SYSTEM
  ibrav = 0, nat = 21, ntyp = 3
/
ATOMIC_SPECIES
Au 196.97 Au.upf
Rb 85.47 Rb.upf
Pb 207.20 Pb.upf
CELL_PARAMETERS angstrom
4.7283 0.0000 0.0000
0.0000 10.5669 -6.1008
0.0000 0.0000 12.2016
ATOMIC_POSITIONS angstrom
Au 1.2343 4.2896 -1.2069
Au 2.3642 0.0000 0.0000
Au 1.2343 7.3769 2.9894
Au 3.4940 6.2773 7.3077
Au 1.2343 9.4673 -1.7825
Au 3.4940 1.0996 7.8833
Au 3.4940 3.1900 3.1115
Rb 3.5387 7.0446 0.0000
Rb 1.1896 3.5223 6.1008
Pb 1.1781 1.3028 2.4152
Pb 1.1582 4.6549 1.8232
Pb 1.1781 7.8239 6.0215
Pb 1.1582 9.8184 1.1579
Pb 3.5502 9.2641 3.6856
Pb 3.5701 3.9064 9.0820
Pb 3.5502 2.7430 0.0793
Pb 3.5502 9.1267 -3.7650
Pb 1.1781 1.4402 9.8658
Pb 3.5701 5.9120 4.2776
Pb 3.5701 0.7485 4.9429
Pb 1.1582 6.6605 -2.9812
```

Energy of formation from the pure elements = -133 meV per atom



# 3
The following is a GGA-PBE calculation of an optimized crystal structure of Dy2AlSiNi6, from Alexandria. Values from VASP.

The structure in Quantum ESPRESSO input format:
```
&SYSTEM
  ibrav = 0, nat = 10, ntyp = 4
/
ATOMIC_SPECIES
Al 26.98 Al.upf
Ni 58.69 Ni.upf
Dy 162.50 Dy.upf
Si 28.09 Si.upf
CELL_PARAMETERS angstrom
-0.5558 -4.6676 4.1482
4.3927 -2.4203 -3.4213
3.7602 -2.2939 4.4603
ATOMIC_POSITIONS angstrom
Al 1.9185 -3.5440 0.3635
Ni 2.8723 -2.9846 2.4723
Ni 4.7248 -6.3971 2.7149
Ni 4.8237 -4.0855 3.3598
Ni 6.8892 -5.2127 2.8727
Ni 0.7079 -4.1690 2.3145
Ni 2.7734 -5.2962 1.8274
Dy 5.0702 -4.1466 0.3770
Dy 2.5270 -5.2352 4.8102
Si 0.0000 0.0000 0.0000
```

Formation energy (no corrections) = -0.4570 eV/atom



| no. | E_tot (eV/atom) |
| --- | --- |
| 1 | -6.157 |
| 2 | -3.436 |
| 3 | -5.763 |